{"formula": "NbZnPt", "functional": "PBE-GGA", "state": "optimized geometry", "formation_enthalpy_0k_ev_per_atom": -0.4037, "n_ef_per_ev_cell": 3.18, "cell": [[-2.035, 4.368, 0.739], [1.437, -2.690, 3.844], [4.419, 1.265, -2.008]], "species": ["Nb", "Nb", "Zn", "Zn", "Pt", "Pt"], "frac_coords": [[0.238, 0.262, 0.749], [0.762, 0.738, 0.251], [0.425, 0.078, 0.252], [0.575, 0.922, 0.748], [0.915, 0.590, 0.752], [0.085, 0.410, 0.248]]}